Mn3In: optimized geometry, GGA-PBE.

Results
The calculation puts the energy of formation at 0.21 eV/atom. As for the uncorrected energy: -29.4 eV/f.u.

Lattice parameters (Å, degrees): 2.847 3.479 5.874 90.00 90.00 90.00
Element x y z (fractional)
Mn  0.000  0.000  0.000
Mn  0.500  0.500  0.210
Mn  0.500  0.500  0.790
In  0.000  0.000  0.500